[1]
Cr2GaPdW: relaxed, PBE.

## Properties
For the excess energy over the best structure of this formula in the dataset, the calculation gives 178 meV per atom. For the density of states at the Fermi level, the calculation gives 0.809 states/eV/atom. The total energy is -6.635 eV/atom.

The structure in POSCAR format:
```
Cr2GaPdW
1.0
4.3454 0.0000 0.0000
0.0000 4.3458 0.0000
0.0000 0.0000 4.3454
Cr Ga Pd W
2 1 1 1
direct
0.0000 0.0000 0.5000
0.5000 0.0000 0.0000
0.0000 0.0000 0.0000
0.0000 0.5000 0.0000
0.5000 0.5000 0.5000
```

***

[2]
Li2In3SnHg3: relaxed, PBE.

## Properties
For the density of states at the Fermi level, the calculation gives 0.260 states/eV/atom. The total energy is -1.976 eV/atom.

The structure in POSCAR format:
```
Li2In3SnHg3
1.0
3.4518 0.0000 0.0000
0.0000 8.5207 0.0000
0.0000 -4.2604 7.3792
Li In Sn Hg
2 3 1 3
direct
0.5000 0.6667 0.3333
0.5000 0.3333 0.6667
0.5000 0.6942 0.0000
0.5000 0.0000 0.6942
0.5000 0.3058 0.3058
0.0000 0.0000 0.0000
0.0000 0.6173 0.6173
0.0000 0.0000 0.3827
0.0000 0.3827 0.0000
```